First-principles (PBE) data for crystalline Al2CoRe at its relaxed geometry, as listed in Alexandria via LeMat-Bulk.

Structure (extended XYZ):
```
8
Lattice="3.079 0.000 0.000 0.000 4.358 0.000 0.000 0.000 8.068" Properties=species:S:1:pos:R:3 pbc="T T T"
Al 0.000 0.000 1.926
Al 0.000 0.000 6.141
Al 1.539 2.179 2.108
Al 1.539 2.179 5.960
Co 0.000 2.179 4.034
Co 1.539 0.000 0.000
Re 0.000 2.179 0.000
Re 1.539 0.000 4.034
```

Formation energy = -123 meV/atom
Magnetization = 1.78 μB/f.u.
DFT total energy = -6.88 eV per atom
Symmetry = Immm, No. 71

First-principles (PBE) data for crystalline AlCoRe2 at its relaxed geometry, as listed in Alexandria via LeMat-Bulk.

Structure (extended XYZ):
```
8
Lattice="3.098 0.000 0.000 0.000 4.221 0.000 0.000 0.000 8.251" Properties=species:S:1:pos:R:3 pbc="T T T"
Al 0.000 0.000 0.000
Al 1.549 2.111 4.126
Co 0.000 2.111 6.014
Co 1.549 0.000 1.888
Re 0.000 0.000 3.996
Re 0.000 2.111 1.988
Re 1.549 0.000 6.114
Re 1.549 2.111 8.121
```

Formation energy = -70 meV/atom
Magnetization = 0.86 μB/f.u.
DFT total energy = -9.01 eV per atom
Symmetry = Imm2, No. 44